(1)
Density functional theory data (PBE) for a relaxed structure of InCo2Pd2.

Geometry as POSCAR:
```
InCo2Pd2
1.0
3.324 0.000 0.000
0.000 3.324 0.000
1.662 1.662 7.089
Co Pd In
2 2 1
Cartesian
3.324 1.662 3.544
1.662 3.324 3.544
1.662 1.662 1.490
3.324 3.324 5.598
0.000 0.000 0.000
```

energy of formation: 0.190 eV per formula unit
symmetry: No. 139
energy above the most stable polymorph in this dataset: 0.00 eV/f.u.
size of the total moment: 3.76 μB/f.u.



(2)
Density functional theory data (PBE) for a relaxed structure of In2CoPd2.

Geometry as POSCAR:
```
In2CoPd2
1.0
-3.726 4.043 -4.053
-4.523 -5.044 -0.873
-1.979 1.245 3.061
Co Pd In
2 4 4
Cartesian
0.000 0.000 0.000
-4.124 -0.501 -2.463
-5.213 -2.880 -2.199
-6.101 0.229 -4.038
-3.036 1.879 -2.727
-2.148 -1.230 -0.889
-4.613 -2.065 0.280
-7.244 -0.900 -1.895
-5.615 2.308 -2.146
-2.984 1.144 0.029
```

energy of formation: -0.367 eV per formula unit
symmetry: No. 127
energy above the most stable polymorph in this dataset: 0.00 eV/f.u.
size of the total moment: 2.02 μB/f.u.



DOS at the Fermi energy values (in states/eV/cell) by entry order: 3.55, 11.07.